Record 1
Below is an optimized crystal structure of RbLaFeS3, with properties calculated at the PBE level.

Cell lengths 11.2806, 4.2754, 12.3857 Å; angles 90.00, 90.00, 90.00 degrees
Closest atoms and distances in Å follow each position.
Fractional coordinates of all 24 atoms:
Fe  0.7413  0.0000  0.2071  4 S 2.27-2.38
Fe  0.2413  0.0000  0.2929  4 S 2.27-2.38
Fe  0.7587  0.5000  0.7071  4 S 2.27-2.38
Fe  0.2587  0.5000  0.7929  4 S 2.27-2.38
La  0.4810  0.5000  0.1691  7 S 2.90-3.07
La  0.9810  0.5000  0.3309  7 S 2.90-3.07
La  0.0190  0.0000  0.6691  7 S 2.90-3.07
La  0.5190  0.0000  0.8309  7 S 2.90-3.07
Rb  0.1655  0.0000  0.0093  7 S 3.29-3.41, 3 Fe 3.59-3.62
Rb  0.6655  0.0000  0.4907  7 S 3.29-3.41, 3 Fe 3.59-3.62
Rb  0.3345  0.5000  0.5093  7 S 3.29-3.41, 3 Fe 3.59-3.62
Rb  0.8345  0.5000  0.9907  7 S 3.29-3.41, 3 Fe 3.59-3.62
S  0.6119  0.0000  0.0602  1 Fe 2.33
S  0.9397  0.0000  0.1774  1 Fe 2.27
S  0.2135  0.5000  0.2126  2 Fe 2.38
S  0.7135  0.5000  0.2874  2 Fe 2.38
S  0.4397  0.0000  0.3226  1 Fe 2.27
S  0.1119  0.0000  0.4399  1 Fe 2.33
S  0.8881  0.5000  0.5601  1 Fe 2.33
S  0.5603  0.5000  0.6774  1 Fe 2.27
S  0.2865  0.0000  0.7126  2 Fe 2.38
S  0.7865  0.0000  0.7874  2 Fe 2.38
S  0.0603  0.5000  0.8226  1 Fe 2.27
S  0.3881  0.5000  0.9399  1 Fe 2.33

V in Å³/f.u.: 149
Distance to the lowest polymorph of the same formula in kcal/mol of atoms: 0.08
Space group: Pnma (62)

Record 2
Below is an optimized crystal structure of RbLaFeS3, with properties calculated at the PBE level.

Cell lengths 7.5692, 7.5692, 11.1013 Å; angles 90.00, 90.00, 148.12 degrees
Closest atoms and distances in Å follow each position.
Fractional coordinates of all 12 atoms:
Fe  0.5310  0.4690  0.2500  4 S 2.29-2.42
Fe  0.4690  0.5310  0.7500  4 S 2.29-2.42
La  0.0000  0.0000  0.0000  6 S 2.86-2.88
La  0.0000  0.0000  0.5000  6 S 2.86-2.88
Rb  0.2581  0.7419  0.2500  6 S 3.44-3.45
Rb  0.7419  0.2581  0.7500  6 S 3.44-3.45
S  0.6206  0.3794  0.0805  1 Fe 2.29
S  0.9462  0.0538  0.2500  2 Fe 2.42
S  0.6206  0.3794  0.4195  1 Fe 2.29
S  0.3794  0.6206  0.5805  1 Fe 2.29
S  0.0538  0.9462  0.7500  2 Fe 2.42
S  0.3794  0.6206  0.9195  1 Fe 2.29

V in Å³/f.u.: 168
Distance to the lowest polymorph of the same formula in kcal/mol of atoms: 0.00
Space group: Cmcm (63)

Record 3
Below is an optimized crystal structure of RbLaFeTe3, with properties calculated at the PBE level.

Cell lengths 8.4227, 8.4227, 12.0453 Å; angles 90.00, 90.00, 148.83 degrees
Closest atoms and distances in Å follow each position.
Fractional coordinates of all 12 atoms:
Fe  0.5328  0.4672  0.2500  4 Te 2.63-2.74
Fe  0.4672  0.5328  0.7500  4 Te 2.63-2.74
La  0.0000  0.0000  0.0000  6 Te 3.17-3.21
La  0.0000  0.0000  0.5000  6 Te 3.17-3.21
Rb  0.2563  0.7437  0.2500  6 Te 3.72-3.73
Rb  0.7437  0.2563  0.7500  6 Te 3.72-3.73
Te  0.6287  0.3713  0.0741  1 Fe 2.63
Te  0.9381  0.0619  0.2500  2 Fe 2.74
Te  0.6287  0.3713  0.4259  1 Fe 2.63
Te  0.3713  0.6287  0.5741  1 Fe 2.63
Te  0.0619  0.9381  0.7500  2 Fe 2.74
Te  0.3713  0.6287  0.9259  1 Fe 2.63

V in Å³/f.u.: 221
Distance to the lowest polymorph of the same formula in kcal/mol of atoms: 0.00
Space group: Cmcm (63)

Record 4
Below is an optimized crystal structure of RbLaFeTe3, with properties calculated at the PBE level.

Cell lengths 12.5745, 4.7153, 13.8038 Å; angles 90.00, 90.00, 90.00 degrees
Closest atoms and distances in Å follow each position.
Fractional coordinates of all 24 atoms:
Fe  0.7454  0.0000  0.2045  4 Te 2.60-2.69
Fe  0.2454  0.0000  0.2955  4 Te 2.60-2.69
Fe  0.7546  0.5000  0.7045  4 Te 2.60-2.69
Fe  0.2546  0.5000  0.7955  4 Te 2.60-2.69
La  0.4802  0.5000  0.1751  7 Te 3.25-3.42
La  0.9802  0.5000  0.3249  7 Te 3.25-3.42
La  0.0198  0.0000  0.6751  7 Te 3.25-3.42
La  0.5198  0.0000  0.8249  7 Te 3.25-3.42
Rb  0.1768  0.0000  0.0040  7 Te 3.65-3.70, 2 Fe 3.85
Rb  0.6768  0.0000  0.4960  7 Te 3.65-3.70, 2 Fe 3.85
Rb  0.3232  0.5000  0.5040  7 Te 3.65-3.70, 2 Fe 3.85
Rb  0.8232  0.5000  0.9960  7 Te 3.65-3.70, 2 Fe 3.85
Te  0.6076  0.0000  0.0596  1 Fe 2.65
Te  0.9478  0.0000  0.1661  1 Fe 2.60
Te  0.2154  0.5000  0.2057  2 Fe 2.69
Te  0.7154  0.5000  0.2943  2 Fe 2.69
Te  0.4478  0.0000  0.3339  1 Fe 2.60
Te  0.1076  0.0000  0.4404  1 Fe 2.65
Te  0.8924  0.5000  0.5596  1 Fe 2.65
Te  0.5522  0.5000  0.6661  1 Fe 2.60
Te  0.2846  0.0000  0.7057  2 Fe 2.69
Te  0.7846  0.0000  0.7943  2 Fe 2.69
Te  0.0522  0.5000  0.8339  1 Fe 2.60
Te  0.3924  0.5000  0.9404  1 Fe 2.65

V in Å³/f.u.: 205
Distance to the lowest polymorph of the same formula in kcal/mol of atoms: 0.44
Space group: Pnma (62)